Here is Ho2Fe17C3 after structural relaxation from Alexandria via LeMat-Bulk. Energies are from GGA-PBE.

Magnetic moment ... 34.42 μB/f.u.
DOS(E_F) ... 0.772 states/eV per atom
Crystal system ... trigonal
DFT formation energy ... -0.08 eV per atom
Symmetry ... R-3m (166)
E_tot ... -8.298 eV/atom

Unit cell a=6.487 b=6.487 c=6.487 alpha=83.15 beta=83.15 gamma=83.15
Fractional positions:
1 Fe 0.344 0.344 0.855
2 Fe 0.656 0.145 0.656
3 Fe 0.284 0.000 0.716
4 Fe 0.000 0.000 0.500
5 Fe 0.000 0.284 0.716
6 Fe 0.096 0.096 0.096
7 Fe 0.716 0.284 0.000
8 Fe 0.716 0.000 0.284
9 Fe 0.145 0.656 0.656
10 Fe 0.000 0.500 0.000
11 Fe 0.656 0.656 0.145
12 Fe 0.500 0.000 0.000
13 Fe 0.904 0.904 0.904
14 Fe 0.855 0.344 0.344
15 Fe 0.344 0.855 0.344
16 Fe 0.284 0.716 0.000
17 Fe 0.000 0.716 0.284
18 Ho 0.657 0.657 0.657
19 Ho 0.343 0.343 0.343
20 C 0.500 0.500 0.000
21 C 0.500 0.000 0.500
22 C 0.000 0.500 0.500